Material: CdSb2Cl
Method: DFT, PBE
State: optimized geometry

abc: 11.980 11.980 11.980
angles: 158.75 158.75 30.22
Fractional coordinates of all 8 atoms:
Cd  0.000  0.000  0.000
Cd  0.750  0.250  0.500
Sb  0.084  0.625  0.959
Sb  0.375  0.334  0.459
Sb  0.666  0.125  0.041
Sb  0.875  0.916  0.541
Cl  0.250  0.750  0.500
Cl  0.500  0.500  0.000

Computed properties:
- Total energy: -22.941 eV/cell
- Magnetic moment: 0.00 μB per cell
- ΔE_f (raw): -116.0 meV per atom
- Energy above the lowest structure with this stoichiometry: 168 meV/atom
- DOS at the Fermi energy: 1.6 states/eV/f.u.